No. 1
# Si2SbP

A relaxed Si2SbP crystal (PBE-GGA, Alexandria).

Calculated values
Crystal system ... tetragonal
SG ... I4/mmm, No. 139
DOS(E_F) ... 1.72 states/eV/f.u.
Polymorph energy (0 for the lowest one) ... 411 meV per atom
Formation energy without anion corrections ... 0.637 eV per atom

abc: 5.9438 5.9438 5.9438
angles: 142.77 142.77 53.67
With the nearest neighbours (Å) after each atom.
Positions (direct):
1 Si 0.0000 0.0000 0.0000  4 Si 2.68
2 Si 0.5000 0.5000 0.0000  4 Si 2.68
3 P 0.2500 0.7500 0.5000  4 Sb 2.68
4 Sb 0.7500 0.2500 0.5000  4 P 2.68

---

No. 2
# Li2CdReO6

A relaxed Li2CdReO6 crystal (PBE-GGA, Alexandria).

Calculated values
Crystal system ... monoclinic
SG ... C2/c, No. 15
DOS(E_F) ... 0.28 states/eV/f.u.
Formation energy without anion corrections ... -1.407 eV per atom

abc: 7.9390 8.1430 8.1430
angles: 113.58 67.80 67.80
With the nearest neighbours (Å) after each atom.
Positions (direct):
1 Cd 0.7500 0.1782 0.8218  2 O 2.05
2 Cd 0.2500 0.8218 0.1782  2 O 2.05
3 O 0.5475 0.5346 0.8547  2 Li 1.95, 1 Cd 2.05
4 O 0.9525 0.1453 0.4654  2 Li 1.95, 1 Cd 2.05
5 O 0.6504 0.1271 0.2885  1 Re 1.75
6 O 0.8496 0.7115 0.8729  1 Re 1.75
7 O 0.0211 0.3011 0.8435  1 Re 1.76
8 O 0.3496 0.8729 0.7115  1 Re 1.75
9 O 0.0475 0.8547 0.5346  2 Li 1.95, 1 Cd 2.05
10 O 0.5211 0.8435 0.3011  1 Re 1.76
11 O 0.4525 0.4654 0.1453  2 Li 1.95, 1 Cd 2.05
12 O 0.4789 0.1565 0.6989  1 Re 1.76
13 O 0.9789 0.6989 0.1565  1 Re 1.76
14 O 0.1504 0.2885 0.1271  1 Re 1.75
15 Re 0.2500 0.1554 0.8446  4 O 1.75-1.76
16 Re 0.7500 0.8446 0.1554  4 O 1.75-1.76
17 Li 0.8664 0.4269 0.7087  4 O 1.95-2.18
18 Li 0.6336 0.2913 0.5731  4 O 1.95-2.18
19 Li 0.1336 0.5731 0.2913  4 O 1.95-2.18
20 Li 0.3664 0.7087 0.4269  4 O 1.95-2.18

---

No. 3
# RbNaTa2O6

A relaxed RbNaTa2O6 crystal (PBE-GGA, Alexandria).

Calculated values
Crystal system ... monoclinic
SG ... C2/c, No. 15
DOS(E_F) ... 0.00 states/eV/f.u.
Formation energy without anion corrections ... -2.513 eV per atom

abc: 6.7192 8.0021 8.0021
angles: 99.75 75.86 75.86
With the nearest neighbours (Å) after each atom.
Positions (direct):
1 Rb 0.7500 0.1095 0.8905  6 O 2.86-2.93
2 Rb 0.2500 0.8905 0.1095  6 O 2.86-2.93
3 O 0.7101 0.7617 0.9149  1 Ta 1.81
4 O 0.5634 0.5758 0.6388  2 Ta 1.97-2.00
5 O 0.9366 0.3612 0.4242  2 Ta 1.97-2.00
6 O 0.7899 0.0851 0.2383  1 Ta 1.81
7 O 0.5773 0.1972 0.6125  1 Ta 1.80
8 O 0.0634 0.6388 0.5758  2 Ta 1.97-2.00
9 O 0.2899 0.2383 0.0851  1 Ta 1.81
10 O 0.4227 0.8028 0.3875  1 Ta 1.80
11 O 0.2101 0.9149 0.7617  1 Ta 1.81
12 O 0.9227 0.3875 0.8028  1 Ta 1.80
13 O 0.4366 0.4242 0.3612  2 Ta 1.97-2.00
14 O 0.0773 0.6125 0.1972  1 Ta 1.80
15 Ta 0.3222 0.7200 0.5769  4 O 1.80-2.00
16 Ta 0.1778 0.4231 0.2800  4 O 1.80-2.00
17 Ta 0.8222 0.5769 0.7200  4 O 1.80-2.00
18 Ta 0.6778 0.2800 0.4231  4 O 1.80-2.00
19 Na 0.7500 0.7978 0.2022  4 O 2.32-2.36
20 Na 0.2500 0.2022 0.7978  4 O 2.32-2.36

---

No. 4
# Ni3AgTe

A relaxed Ni3AgTe crystal (PBE-GGA, Alexandria).

Calculated values
Crystal system ... cubic
SG ... Pm-3m, No. 221
DOS(E_F) ... 3.20 states/eV/f.u.
Polymorph energy (0 for the lowest one) ... 0 meV per atom
Formation energy without anion corrections ... 0.726 eV per atom

abc: 4.6285 4.6285 4.6285
angles: 90.00 90.00 90.00
With the nearest neighbours (Å) after each atom.
Positions (direct):
1 Te 0.0000 0.0000 0.0000  6 Ni 2.31
2 Ni 0.0000 0.0000 0.5000  2 Te 2.31
3 Ni 0.0000 0.5000 0.0000  2 Te 2.31
4 Ni 0.5000 0.0000 0.0000  2 Te 2.31
5 Ag 0.5000 0.5000 0.5000  12 Ni 3.27

---

Which value of DOS(E_F) does entry 1 give?
1.72 states/eV/f.u.

---

What is the formula in the second record?
Li2CdReO6

---

Repeat the first record exactly.
# Si2SbP

A relaxed Si2SbP crystal (PBE-GGA, Alexandria).

Calculated values
Crystal system ... tetragonal
SG ... I4/mmm, No. 139
DOS(E_F) ... 1.72 states/eV/f.u.
Polymorph energy (0 for the lowest one) ... 411 meV per atom
Formation energy without anion corrections ... 0.637 eV per atom

abc: 5.9438 5.9438 5.9438
angles: 142.77 142.77 53.67
With the nearest neighbours (Å) after each atom.
Positions (direct):
1 Si 0.0000 0.0000 0.0000  4 Si 2.68
2 Si 0.5000 0.5000 0.0000  4 Si 2.68
3 P 0.2500 0.7500 0.5000  4 Sb 2.68
4 Sb 0.7500 0.2500 0.5000  4 P 2.68